This record from the Alexandria database describes a relaxed structure of CaS4. The functional is PBE.

Cell: 4.519 5.765 6.430 Å, 81.55 69.43 67.11°
Positions (direct):
Ca 0.000 0.000 0.000
S 0.288 0.189 0.237
S 0.474 0.811 0.240
S 0.526 0.189 0.760
S 0.712 0.811 0.763

Calculated values
- symmetry = P-1, No. 2
- calculated volume (Å³ per cell) = 144.47
- formation energy without anion corrections (eV/atom) = -0.642
- relative energy among the computed polymorphs (eV per atom) = 0.000